No. 1
DFT (GGA-PBE) results for an optimized crystal structure of Nd2ScTl.

Properties
Energy above the lowest structure with this stoichiometry in eV per atom: 0.092
Crystal system: cubic
Formation enthalpy at 0 K in eV/atom: -0.08

a b c (Å): 5.5028 5.5028 5.5028
angles (deg): 60.00 60.00 60.00
Last column: magnetic moment on the atom in μB.
Fractional coordinates of all 4 atoms:
Sc 0.0000 0.0000 0.0000  0.44
Tl 0.5000 0.5000 0.5000  -0.01
Nd 0.2500 0.2500 0.2500  0.16
Nd 0.7500 0.7500 0.7500  0.16

---

No. 2
DFT (GGA-PBE) results for an optimized crystal structure of Y2CoTeC.

Properties
Formation energy from raw total energies in eV per atom: -0.592
Crystal system: tetragonal

a b c (Å): 5.1275 5.1275 3.7206
angles (deg): 90.00 90.00 90.00
Last column: magnetic moment on the atom in μB.
Fractional coordinates of all 5 atoms:
Y 0.0000 0.5000 0.0000  0.02
Y 0.5000 0.0000 0.0000  0.02
C 0.0000 0.0000 0.0000  0.00
Te 0.5000 0.5000 0.5000  0.00
Co 0.0000 0.0000 0.5000  0.29

---

No. 3
DFT (GGA-PBE) results for an optimized crystal structure of Tb3Pr12Y.

Properties
Crystal system: tetragonal
Formation enthalpy at 0 K in eV/atom: 0.01

a b c (Å): 5.2051 5.2051 20.7514
angles (deg): 90.00 90.00 90.00
Fractional coordinates of all 16 atoms:
Tb 0.0000 0.0000 0.2500
Tb 0.0000 0.0000 0.5000
Tb 0.0000 0.0000 0.7500
Pr 0.5000 0.5000 0.0000
Pr 0.5000 0.5000 0.2501
Pr 0.5000 0.5000 0.5000
Pr 0.5000 0.5000 0.7499
Pr 0.5000 0.0000 0.1252
Pr 0.5000 0.0000 0.3751
Pr 0.5000 0.0000 0.6249
Pr 0.5000 0.0000 0.8748
Pr 0.0000 0.5000 0.1252
Pr 0.0000 0.5000 0.3751
Pr 0.0000 0.5000 0.6249
Pr 0.0000 0.5000 0.8748
Y 0.0000 0.0000 0.0000

---

No. 4
DFT (GGA-PBE) results for an optimized crystal structure of POs.

Properties
Crystal system: tetragonal
Formation enthalpy at 0 K in eV/atom: 0.15

a b c (Å): 6.4617 6.4617 3.6542
angles (deg): 90.00 90.00 90.00
Fractional coordinates of all 8 atoms:
P 0.3058 0.6942 0.0000
P 0.8058 0.8058 0.5000
P 0.1942 0.1942 0.5000
P 0.6942 0.3058 0.0000
Os 0.3409 0.3409 0.0000
Os 0.8409 0.1591 0.5000
Os 0.1591 0.8409 0.5000
Os 0.6591 0.6591 0.0000

---

Number 1: calculated total energy -4.6396 eV per atom. Number 2: calculated total energy -7.0722 eV per atom. Number 3: calculated total energy -4.8453 eV per atom. Number 4: calculated total energy -8.1692 eV per atom.